Record 1
# LiCr2Pt

A crystal of LiCr2Pt relaxed with PBEsol (SCAN, Alexandria via LeMat-Bulk).

Cell lengths 4.1490, 4.1490, 4.1490 Å; angles 60.00, 60.00, 60.00 degrees
Element x y z (fractional)
Li  0.5000  0.5000  0.5000
Cr  0.0000  0.0000  0.0000
Cr  0.7500  0.7500  0.7500
Pt  0.2500  0.2500  0.2500

Properties
Space-group type: No. 216

=====

Record 2
# LiCr3Pt

A crystal of LiCr3Pt relaxed with PBEsol (SCAN, Alexandria via LeMat-Bulk).

Cell lengths 4.8641, 4.8641, 4.8641 Å; angles 90.00, 90.00, 90.00 degrees
Element x y z (fractional)
Li  0.5000  0.5000  0.5000
Cr  0.0000  0.5000  0.0000
Cr  0.5000  0.0000  0.0000
Cr  0.0000  0.0000  0.5000
Pt  0.0000  0.0000  0.0000

Properties
Space-group type: No. 221

=====

Record 3
# LiTa2CrPt

A crystal of LiTa2CrPt relaxed with PBEsol (SCAN, Alexandria via LeMat-Bulk).

Cell lengths 4.5037, 4.5037, 4.6701 Å; angles 90.00, 90.00, 90.00 degrees
Element x y z (fractional)
Li  0.5000  0.5000  0.5000
Ta  0.0000  0.5000  0.0000
Ta  0.5000  0.0000  0.0000
Pt  0.0000  0.0000  0.5000
Cr  0.0000  0.0000  0.0000

Properties
Space-group type: No. 123

=====

Record 4
# Rb2LiCr

A crystal of Rb2LiCr relaxed with PBEsol (SCAN, Alexandria via LeMat-Bulk).

Cell lengths 7.0635, 7.9067, 7.9067 Å; angles 78.49, 63.47, 63.47 degrees
Element x y z (fractional)
Rb  0.6332  0.9918  0.4918
Rb  0.3750  0.5082  0.9918
Rb  0.8750  0.4918  0.0082
Rb  0.1168  0.0082  0.5082
Li  0.2500  0.5000  0.5000
Li  0.5000  0.0000  0.0000
Cr  0.7500  0.5000  0.5000
Cr  0.0000  0.0000  0.0000

Properties
Space-group type: No. 122

=====

Record 5
# LiCrRe2

A crystal of LiCrRe2 relaxed with PBEsol (SCAN, Alexandria via LeMat-Bulk).

Cell lengths 2.5899, 2.5899, 8.7574 Å; angles 90.00, 90.00, 110.91 degrees
Element x y z (fractional)
Re  0.0000  0.0000  0.7343
Re  0.0000  0.0000  0.2657
Cr  0.5000  0.5000  0.5000
Li  0.5000  0.5000  0.0000

Properties
Space-group type: No. 65
Energy relative to the lowest polymorph listed for this composition in meV per atom: 0

=====

Record 6
# LiCr2Re

A crystal of LiCr2Re relaxed with PBEsol (SCAN, Alexandria via LeMat-Bulk).

Cell lengths 2.5501, 2.5501, 8.6326 Å; angles 90.00, 90.00, 109.83 degrees
Element x y z (fractional)
Cr  0.0000  0.0000  0.2380
Cr  0.0000  0.0000  0.7620
Li  0.5000  0.5000  0.5000
Re  0.5000  0.5000  0.0000

Properties
Space-group type: No. 65
Energy relative to the lowest polymorph listed for this composition in meV per atom: 66

=====

Record 7
# LiCr2Re

A crystal of LiCr2Re relaxed with PBEsol (SCAN, Alexandria via LeMat-Bulk).

Cell lengths 2.5832, 2.5832, 8.1734 Å; angles 90.00, 90.00, 90.00 degrees
Element x y z (fractional)
Re  0.5000  0.5000  0.5000
Cr  0.0000  0.0000  0.2704
Cr  0.0000  0.0000  0.7296
Li  0.5000  0.5000  0.0000

Properties
Space-group type: No. 123
Energy relative to the lowest polymorph listed for this composition in meV per atom: 321

=====

Record 8
# LiCrRe

A crystal of LiCrRe relaxed with PBEsol (SCAN, Alexandria via LeMat-Bulk).

Cell lengths 2.4603, 4.1553, 4.4044 Å; angles 118.15, 106.22, 90.00 degrees
Element x y z (fractional)
Re  0.6693  0.6693  0.3386
Li  0.3326  0.3326  0.6652
Cr  0.9981  0.9981  0.9961

Properties
Space-group type: No. 44

=====

| no. | DFT total energy (Ry per atom) |
| --- | --- |
| 1 | -2.034 |
| 2 | -1.827 |
| 3 | -3.237 |
| 4 | -1.097 |
| 5 | -2.984 |
| 6 | -1.998 |
| 7 | -1.979 |
| 8 | -2.230 |